# Nb2Pd3Ru (PBE, relaxed)
# formation energy from the elements	-162	meV/atom
data_Nb2Pd3Ru
_symmetry_space_group_name_H-M 'C 1 2/m 1'
_symmetry_Int_Tables_number 12
_symmetry_space_group_name_Hall '-C 2y'
_cell_length_a 13.022
_cell_length_b 4.633
_cell_length_c 7.519
_cell_angle_alpha 90.00
_cell_angle_beta 120.50
_cell_angle_gamma 90.00
loop_
_atom_site_label
_atom_site_type_symbol
_atom_site_fract_x
_atom_site_fract_y
_atom_site_fract_z
Nb1 Nb 0.031 0.000 0.198
Nb2 Nb 0.198 0.500 0.543
Pd1 Pd 0.043 0.500 0.712
Pd2 Pd 0.124 0.000 0.612
Pd3 Pd 0.204 0.000 0.034
Ru1 Ru 0.131 0.500 0.163

***

# La3Pm6NdHo2 (PBE, relaxed)
# formation energy from the elements	19	meV/atom
data_La3Pm6NdHo2
_symmetry_space_group_name_H-M 'C 1 2/m 1'
_symmetry_Int_Tables_number 12
_symmetry_space_group_name_Hall '-C 2y'
_cell_length_a 6.331
_cell_length_b 10.973
_cell_length_c 12.147
_cell_angle_alpha 90.00
_cell_angle_beta 100.08
_cell_angle_gamma 90.00
loop_
_atom_site_label
_atom_site_type_symbol
_atom_site_fract_x
_atom_site_fract_y
_atom_site_fract_z
La1 La 0.000 0.000 0.000
La2 La 0.000 0.333 0.000
Pm1 Pm 0.247 0.000 0.745
Pm2 Pm 0.249 0.333 0.745
Nd1 Nd 0.000 0.500 0.500
Ho1 Ho 0.000 0.167 0.500

***

# Cr2GaPt2 (PBE, relaxed)
# formation energy from the elements	-37	meV/atom
data_Cr2GaPt2
_symmetry_space_group_name_H-M 'P 4/m b m'
_symmetry_Int_Tables_number 127
_symmetry_space_group_name_Hall '-P 4 2ab'
_cell_length_a 7.366
_cell_length_b 7.366
_cell_length_c 2.884
_cell_angle_alpha 90.00
_cell_angle_beta 90.00
_cell_angle_gamma 90.00
loop_
_atom_site_label
_atom_site_type_symbol
_atom_site_fract_x
_atom_site_fract_y
_atom_site_fract_z
Cr1 Cr 0.164 0.336 0.000
Ga1 Ga 0.000 0.000 0.500
Pt1 Pt 0.134 0.634 0.500

***

# SmNpH2O6 (PBE, relaxed)
# total DFT energy (no corrections)	-77.2	eV/f.u.
data_SmNpH2O6
_symmetry_space_group_name_H-M 'P -1'
_symmetry_Int_Tables_number 2
_symmetry_space_group_name_Hall '-P 1'
_cell_length_a 5.212
_cell_length_b 5.428
_cell_length_c 6.014
_cell_angle_alpha 63.71
_cell_angle_beta 67.62
_cell_angle_gamma 64.10
loop_
_atom_site_label
_atom_site_type_symbol
_atom_site_fract_x
_atom_site_fract_y
_atom_site_fract_z
Sm1 Sm 0.000 0.000 0.000
Np1 Np 0.500 0.500 0.500
H1 H 0.088 0.273 0.275
O1 O 0.084 0.743 0.741
O2 O 0.276 0.575 0.273
O3 O 0.404 0.150 0.718

***

# SrErTl4 (PBE, relaxed)
# formation energy from the elements	-234	meV/atom
data_SrErTl4
_symmetry_space_group_name_H-M 'P -1'
_symmetry_Int_Tables_number 2
_symmetry_space_group_name_Hall '-P 1'
_cell_length_a 4.977
_cell_length_b 5.189
_cell_length_c 8.031
_cell_angle_alpha 86.87
_cell_angle_beta 89.32
_cell_angle_gamma 61.73
loop_
_atom_site_label
_atom_site_type_symbol
_atom_site_fract_x
_atom_site_fract_y
_atom_site_fract_z
Sr1 Sr 0.000 0.000 0.000
Er1 Er 0.000 0.000 0.500
Tl1 Tl 0.334 0.330 0.657
Tl2 Tl 0.334 0.335 0.214

***

# MgMn2Ag (PBE, relaxed)
# formation energy from the elements	334	meV/atom
data_MgMn2Ag
_symmetry_space_group_name_H-M 'P 1 2/m 1'
_symmetry_Int_Tables_number 10
_symmetry_space_group_name_Hall '-P 2y'
_cell_length_a 2.827
_cell_length_b 4.630
_cell_length_c 5.205
_cell_angle_alpha 90.00
_cell_angle_beta 99.38
_cell_angle_gamma 90.00
loop_
_atom_site_label
_atom_site_type_symbol
_atom_site_fract_x
_atom_site_fract_y
_atom_site_fract_z
Mg1 Mg 0.000 0.000 0.000
Mn1 Mn 0.267 0.500 0.748
Ag1 Ag 0.500 0.000 0.500

***

# Na3YNp2Te6 (PBE, relaxed)
# formation energy without anion corrections	-0.98	eV per atom
data_Na3YNp2Te6
_symmetry_space_group_name_H-M 'C 1 2/m 1'
_symmetry_Int_Tables_number 12
_symmetry_space_group_name_Hall '-C 2y'
_cell_length_a 7.742
_cell_length_b 13.409
_cell_length_c 7.965
_cell_angle_alpha 90.00
_cell_angle_beta 108.90
_cell_angle_gamma 90.00
loop_
_atom_site_label
_atom_site_type_symbol
_atom_site_fract_x
_atom_site_fract_y
_atom_site_fract_z
Na1 Na 0.000 0.000 0.000
Na2 Na 0.000 0.333 0.000
Y1 Y 0.000 0.500 0.500
Np1 Np 0.000 0.167 0.500
Te1 Te 0.244 0.335 0.734
Te2 Te 0.247 0.000 0.734

***

# YTcTe2 (PBE, relaxed)
# formation energy without anion corrections	-0.45	eV per atom
data_YTcTe2
_symmetry_space_group_name_H-M 'R -3 m'
_symmetry_Int_Tables_number 166
_symmetry_space_group_name_Hall '-R 3 2"'
_cell_length_a 4.3208
_cell_length_b 4.3208
_cell_length_c 17.8095
_cell_angle_alpha 90.00
_cell_angle_beta 90.00
_cell_angle_gamma 120.00
loop_
_atom_site_label
_atom_site_type_symbol
_atom_site_fract_x
_atom_site_fract_y
_atom_site_fract_z
Y1 Y 0.0000 0.0000 0.0000
Tc1 Tc 0.0000 0.0000 0.5000
Te1 Te 0.0000 0.0000 0.2332

***

# HoPu2Ga (PBE, relaxed)
# formation energy from the elements	-170	meV/atom
data_HoPu2Ga
_symmetry_space_group_name_H-M 'P 4/m m m'
_symmetry_Int_Tables_number 123
_symmetry_space_group_name_Hall '-P 4 2'
_cell_length_a 4.396
_cell_length_b 4.396
_cell_length_c 5.005
_cell_angle_alpha 90.00
_cell_angle_beta 90.00
_cell_angle_gamma 90.00
loop_
_atom_site_label
_atom_site_type_symbol
_atom_site_fract_x
_atom_site_fract_y
_atom_site_fract_z
Ho1 Ho 0.000 0.000 0.000
Pu1 Pu 0.000 0.500 0.500
Ga1 Ga 0.500 0.500 0.000

***

# Tb4Dy5Sc2 (PBE, relaxed)
# formation energy from the elements	55	meV/atom
data_Tb4Dy5Sc2
_symmetry_space_group_name_H-M 'P -1'
_symmetry_Int_Tables_number 2
_symmetry_space_group_name_Hall '-P 1'
_cell_length_a 3.618
_cell_length_b 8.990
_cell_length_c 11.080
_cell_angle_alpha 108.36
_cell_angle_beta 99.38
_cell_angle_gamma 90.02
loop_
_atom_site_label
_atom_site_type_symbol
_atom_site_fract_x
_atom_site_fract_y
_atom_site_fract_z
Tb1 Tb 0.023 0.205 0.046
Tb2 Tb 0.128 0.740 0.257
Dy1 Dy 0.231 0.155 0.462
Dy2 Dy 0.331 0.569 0.662
Dy3 Dy 0.500 0.500 0.000
Sc1 Sc 0.400 0.974 0.800

***

# BeVCoTc (PBE, relaxed)
# formation energy from the elements	-184	meV/atom
data_BeVCoTc
_symmetry_space_group_name_H-M 'F -4 3 m'
_symmetry_Int_Tables_number 216
_symmetry_space_group_name_Hall 'F -4 2 3'
_cell_length_a 5.709
_cell_length_b 5.709
_cell_length_c 5.709
_cell_angle_alpha 90.00
_cell_angle_beta 90.00
_cell_angle_gamma 90.00
loop_
_atom_site_label
_atom_site_type_symbol
_atom_site_fract_x
_atom_site_fract_y
_atom_site_fract_z
Be1 Be 0.000 0.000 0.000
V1 V 0.000 0.000 0.500
Co1 Co 0.250 0.250 0.750
Tc1 Tc 0.250 0.250 0.250

***

# HfSiSeN2 (PBE, relaxed)
# formation energy without anion corrections	0.41	eV per atom
data_HfSiSeN2
_symmetry_space_group_name_H-M 'P 4/m m m'
_symmetry_Int_Tables_number 123
_symmetry_space_group_name_Hall '-P 4 2'
_cell_length_a 4.074
_cell_length_b 4.074
_cell_length_c 5.534
_cell_angle_alpha 90.00
_cell_angle_beta 90.00
_cell_angle_gamma 90.00
loop_
_atom_site_label
_atom_site_type_symbol
_atom_site_fract_x
_atom_site_fract_y
_atom_site_fract_z
Hf1 Hf 0.000 0.000 0.000
Si1 Si 0.500 0.500 0.500
Se1 Se 0.000 0.000 0.500
N1 N 0.000 0.500 0.000